[1]
The following is a DFT calculation (PBE) of Dy7Ho5 after structural relaxation.

abc: 9.3658 9.3658 12.9775
angles: 117.66 117.66 21.78
Element x y z (fractional)
Dy  0.0000  0.0000  0.0000
Dy  0.1389  0.1389  0.7502
Dy  0.1668  0.1668  0.5004
Dy  0.4721  0.4721  0.7501
Dy  0.5279  0.5279  0.2499
Dy  0.8332  0.8332  0.4996
Dy  0.8611  0.8611  0.2498
Ho  0.1945  0.1945  0.2498
Ho  0.3332  0.3332  0.9998
Ho  0.5000  0.5000  0.5000
Ho  0.6668  0.6668  0.0002
Ho  0.8055  0.8055  0.7502

Properties
DFT formation energy   0.0040 eV per atom
Spin magnetization   0.0 μB per formula unit
E   -4.59 eV/atom
V   31.020 Å³/atom

[2]
The following is a DFT calculation (PBE) of DyHo5 after structural relaxation.

abc: 6.6463 6.6463 8.3660
angles: 102.26 102.26 31.43
Element x y z (fractional)
Dy  0.0000  0.0000  0.0000
Ho  0.2778  0.2778  0.0563
Ho  0.3333  0.3333  0.6668
Ho  0.6114  0.6114  0.7222
Ho  0.6666  0.6666  0.3340
Ho  0.9444  0.9444  0.3895

Properties
DFT formation energy   0.0040 eV per atom
Spin magnetization   0.0 μB per formula unit
E   -4.58 eV/atom
V   31.327 Å³/atom

| no. | density (g cm⁻³) |
| --- | --- |
| 1 | 8.8 |
| 2 | 8.7 |